(1)
This record from the Alexandria database describes a relaxed structure of AcPmGeBr. The functional is PBE.

Summary:
**DFT total energy**: -38.9 eV for the cell shown
**Fermi-level density of states**: 5.13 states/eV/cell
**Raw formation energy**: -1.073 eV/atom

```
8
Lattice="-3.881 -2.070 -1.014 -2.578 -1.700 3.292 -10.121 13.106 1.939" Properties=species:S:1:pos:R:3 pbc="T T T"
Pm -11.119 4.630 2.968
Pm -5.461 4.706 1.249
Br -12.577 7.258 3.184
Br -4.003 2.078 1.033
Ge -8.290 4.668 2.109
Ge 0.000 0.000 0.000
Ac -11.450 10.365 2.576
Ac -5.130 -1.029 1.641
```

(2)
This record from the Alexandria database describes a relaxed structure of Ac8Co4Se. The functional is PBE.

Summary:
**DFT total energy**: -67.8 eV for the cell shown
**Fermi-level density of states**: 7.67 states/eV/cell
**Raw formation energy**: -0.229 eV/atom

```
13
Lattice="-0.846 -2.959 -2.973 9.679 -2.245 -3.600 0.789 -8.988 5.643" Properties=species:S:1:pos:R:3 pbc="T T T"
Ac 2.798 -7.883 0.891
Ac 3.247 -11.981 1.763
Ac 5.687 -10.219 -0.686
Ac 3.786 -4.073 -0.103
Ac 6.309 -2.283 -2.603
Ac 0.000 -5.648 -0.537
Ac 6.633 -6.375 -1.701
Ac 9.407 -8.713 -0.163
Co 4.551 -4.744 -2.732
Co 1.898 -5.292 1.648
Co 7.510 -8.893 -2.524
Co 4.818 -9.568 1.994
Se 8.402 -11.822 0.138
```

(3)
This record from the Alexandria database describes a relaxed structure of CdSbRh. The functional is PBE.

Summary:
**DFT total energy**: -52.6 eV for the cell shown
**Fermi-level density of states**: 5.00 states/eV/cell
**Raw formation energy**: -0.254 eV/atom

```
12
Lattice="5.329 0.118 0.100 1.891 7.034 -0.010 1.886 1.430 6.886" Properties=species:S:1:pos:R:3 pbc="T T T"
Sb 3.667 4.297 2.061
Sb 3.665 1.494 5.509
Sb 5.439 4.285 4.915
Sb 5.441 7.088 1.467
Rh 2.821 3.875 4.580
Rh 2.823 6.678 1.133
Rh 6.285 4.708 2.396
Rh 6.283 1.904 5.844
Cd 5.508 2.487 0.593
Cd 7.399 6.719 4.032
Cd 3.598 6.095 6.383
Cd 1.708 1.864 2.944
```

(4)
This record from the Alexandria database describes a relaxed structure of MnPtAu2. The functional is PBE.

Summary:
**DFT total energy**: -22.0 eV for the cell shown
**Fermi-level density of states**: 2.03 states/eV/cell
**ΔH_f (0 K)**: -55.6 meV per atom

```
4
Lattice="-1.154 -3.936 -1.997 -3.961 -2.010 1.040 -3.381 -0.100 -3.062" Properties=species:S:1:pos:R:3 pbc="T T T"
Pt -4.248 -3.023 -2.009
Mn 0.000 0.000 0.000
Au -6.372 -4.535 -3.014
Au -2.124 -1.512 -1.005
```

(5)
This record from the Alexandria database describes a relaxed structure of TcMo2C. The functional is PBE.

Summary:
**DFT total energy**: -80.1 eV for the cell shown
**Fermi-level density of states**: 6.15 states/eV/cell
**ΔH_f (0 K)**: 304.9 meV per atom

```
8
Lattice="7.116 0.000 0.000 0.000 7.116 0.000 3.558 3.558 2.194" Properties=species:S:1:pos:R:3 pbc="T T T"
C 3.558 7.116 1.097
C 3.558 3.558 0.000
Mo 8.895 8.099 1.646
Mo 4.541 1.779 0.549
Mo 5.337 6.134 1.646
Mo 2.576 5.337 0.549
Tc 7.116 3.558 1.097
Tc 0.000 0.000 0.000
```

(6)
This record from the Alexandria database describes a relaxed structure of Sr3NiRu. The functional is PBE.

Summary:
**DFT total energy**: -17.0 eV for the cell shown
**Fermi-level density of states**: 2.16 states/eV/cell
**ΔH_f (0 K)**: 627.7 meV per atom

```
5
Lattice="-4.013 3.753 -0.996 -2.641 -1.588 4.657 2.847 3.817 2.916" Properties=species:S:1:pos:R:3 pbc="T T T"
Ni -1.903 2.991 3.288
Sr 1.423 1.909 1.458
Sr -2.006 1.876 -0.498
Sr -1.320 -0.794 2.328
Ru 0.000 0.000 0.000
```

(7)
This record from the Alexandria database describes a relaxed structure of KRb2TeSe4. The functional is PBE.

Summary:
**DFT total energy**: -50.0 eV for the cell shown
**Fermi-level density of states**: 2.98 states/eV/cell
**Raw formation energy**: -0.610 eV/atom

```
16
Lattice="6.398 0.000 0.000 3.199 8.313 0.000 3.199 0.000 12.568" Properties=species:S:1:pos:R:3 pbc="T T T"
Te 3.199 0.000 0.000
Te 4.799 4.157 6.284
K 7.998 4.157 6.284
K 0.000 0.000 0.000
Rb 3.199 0.000 8.163
Rb 6.398 0.000 4.404
Rb 7.998 4.157 10.688
Rb 7.998 4.157 1.880
Se 5.348 6.572 1.937
Se 10.146 5.898 8.220
Se 3.748 2.415 4.347
Se 5.348 1.741 10.631
Se 5.849 2.415 8.220
Se 10.647 6.572 10.631
Se 4.249 1.741 1.937
Se 5.849 5.898 4.347
```

(8)
This record from the Alexandria database describes a relaxed structure of Ac2Hg2SbO2. The functional is PBE.

Summary:
**DFT total energy**: -33.8 eV for the cell shown
**Fermi-level density of states**: 3.27 states/eV/cell
**Raw formation energy**: -1.569 eV/atom

```
7
Lattice="4.116 0.000 0.000 -2.058 3.564 0.000 0.000 0.000 14.118" Properties=species:S:1:pos:R:3 pbc="T T T"
Hg 0.000 0.000 2.841
Hg 0.000 0.000 11.277
Ac 2.058 1.188 5.442
Ac 0.000 2.376 8.675
O 0.000 2.376 6.131
O 2.058 1.188 7.987
Sb 0.000 0.000 0.000
```